This record from Alexandria via LeMat-Bulk describes ZnIrW2 after structural relaxation. The functional is PBEsol.

Geometry as POSCAR:
```
ZnIrW2
1.0
3.878 0.000 0.000
0.000 3.878 0.000
-1.939 -1.939 3.914
Ir W Zn
1 2 1
Direct
0.250 0.750 0.500
0.500 0.500 0.000
0.750 0.250 0.500
0.000 0.000 0.000
```

Calculated values
- ΔE_f: 0.15 eV per atom
- Magnetic moment: 0.0 Bohr magnetons per cell
- Symmetry: I-4m2 (119)



This record from Alexandria via LeMat-Bulk describes MgRh2Pb after structural relaxation. The functional is PBEsol.

Geometry as POSCAR:
```
MgRh2Pb
1.0
3.876 0.000 0.000
0.000 3.876 0.000
-1.938 -1.938 4.388
Mg Pb Rh
1 1 2
Direct
0.500 0.500 0.000
0.250 0.750 0.500
0.000 0.000 0.000
0.750 0.250 0.500
```

Calculated values
- ΔE_f: -0.10 eV per atom
- Magnetic moment: 0.0 Bohr magnetons per cell
- Symmetry: I-4m2 (119)



This record from Alexandria via LeMat-Bulk describes CdFe3Ag after structural relaxation. The functional is PBEsol.

Geometry as POSCAR:
```
CdFe3Ag
1.0
-2.837 3.691 -0.354
-2.747 -2.391 -2.921
-2.491 -1.567 3.625
Fe Ag Cd
3 1 1
Direct
0.000 0.500 0.000
0.000 0.000 0.500
0.500 0.000 0.000
0.500 0.500 0.500
0.000 0.000 0.000
```

Calculated values
- ΔE_f: 1.84 eV per atom
- Magnetic moment: 8.8 Bohr magnetons per cell
- Symmetry: Pm-3m (221)



This record from Alexandria via LeMat-Bulk describes NaSb2TeI after structural relaxation. The functional is PBEsol.

Geometry as POSCAR:
```
NaSb2TeI
1.0
-3.310 3.597 -2.249
1.806 -1.658 -5.309
-4.242 -4.021 -0.187
I Sb Te Na
1 2 1 1
Direct
0.000 0.000 0.000
0.000 0.000 0.500
0.000 0.500 0.000
0.500 0.500 0.500
0.500 0.000 0.000
```

Calculated values
- Magnetic moment: 0.0 Bohr magnetons per cell
- ΔE_f (raw): 537 meV per atom
- Symmetry: P4/mmm (123)



This record from Alexandria via LeMat-Bulk describes LiAgMo2 after structural relaxation. The functional is PBEsol.

Geometry as POSCAR:
```
LiAgMo2
1.0
-3.957 0.902 -1.652
-3.390 -2.637 0.868
-3.218 1.365 2.642
Ag Li Mo
1 1 2
Direct
0.000 0.000 0.000
0.500 0.500 0.500
0.250 0.250 0.250
0.750 0.750 0.750
```

Calculated values
- ΔE_f: 0.97 eV per atom
- Magnetic moment: 0.0 Bohr magnetons per cell
- Symmetry: Fm-3m (225)



This record from Alexandria via LeMat-Bulk describes Au4BrCl after structural relaxation. The functional is PBEsol.

Geometry as POSCAR:
```
Au4BrCl
1.0
5.509 0.000 0.000
2.755 4.771 0.000
2.755 1.590 4.498
Au Br Cl
4 1 1
Direct
0.374 0.374 0.374
0.374 0.374 0.877
0.877 0.374 0.374
0.374 0.877 0.374
0.750 0.750 0.750
0.000 0.000 0.000
```

Calculated values
- Magnetic moment: 0.0 Bohr magnetons per cell
- ΔE_f (raw): 352 meV per atom
- Symmetry: F-43m (216)



This record from Alexandria via LeMat-Bulk describes TlInFeRh2 after structural relaxation. The functional is PBEsol.

Geometry as POSCAR:
```
TlInFeRh2
1.0
-1.679 3.618 2.825
-3.261 -3.057 1.977
3.395 -1.267 3.641
Tl Rh Fe In
1 2 1 1
Direct
0.000 0.000 0.000
0.000 0.500 0.000
0.500 0.000 0.000
0.500 0.500 0.500
0.000 0.000 0.500
```

Calculated values
- ΔE_f: 1.83 eV per atom
- Magnetic moment: 3.7 Bohr magnetons per cell
- Symmetry: P4/mmm (123)



This record from Alexandria via LeMat-Bulk describes TaBe2Au after structural relaxation. The functional is PBEsol.

Geometry as POSCAR:
```
TaBe2Au
1.0
-2.218 1.941 -0.555
-0.926 -3.701 -1.142
-1.094 0.143 4.870
Be Au Ta
2 1 1
Direct
0.759 0.517 0.812
0.241 0.483 0.188
0.500 0.000 0.000
0.000 0.000 0.500
```

Calculated values
- ΔE_f: 0.14 eV per atom
- Magnetic moment: 0.0 Bohr magnetons per cell
- Symmetry: C2/m (12)



This record from Alexandria via LeMat-Bulk describes Be3SnO after structural relaxation. The functional is PBEsol.

Geometry as POSCAR:
```
Be3SnO
1.0
4.438 0.000 0.000
0.000 4.438 0.000
0.000 0.000 4.438
Be Sn O
3 1 1
Direct
0.000 0.500 0.000
0.000 0.000 0.500
0.500 0.000 0.000
0.000 0.000 0.000
0.500 0.500 0.500
```

Calculated values
- Magnetic moment: 0.0 Bohr magnetons per cell
- ΔE_f (raw): 1275 meV per atom
- Symmetry: Pm-3m (221)



This record from Alexandria via LeMat-Bulk describes CuPt2Rh after structural relaxation. The functional is PBEsol.

Geometry as POSCAR:
```
CuPt2Rh
1.0
-2.071 1.493 0.892
-0.290 0.463 2.648
4.111 7.884 0.452
Rh Cu Pt
1 1 2
Direct
0.504 0.504 0.489
0.249 0.249 0.254
0.996 0.996 0.013
0.752 0.752 0.744
```

Calculated values
- ΔE_f: 0.00 eV per atom
- Magnetic moment: 0.0 Bohr magnetons per cell
- Symmetry: R3m (160)



This record from Alexandria via LeMat-Bulk describes AlCo2As after structural relaxation. The functional is PBEsol.

Geometry as POSCAR:
```
AlCo2As
1.0
2.835 0.000 0.000
0.000 2.835 0.000
0.000 0.000 6.640
As Co Al
1 2 1
Direct
0.500 0.500 0.818
0.000 0.000 0.011
0.500 0.500 0.238
0.000 0.000 0.433
```

Calculated values
- ΔE_f: -0.05 eV per atom
- Magnetic moment: 1.0 Bohr magnetons per cell
- Symmetry: P4mm (99)



This record from Alexandria via LeMat-Bulk describes MnTe2Rh after structural relaxation. The functional is PBEsol.

Geometry as POSCAR:
```
MnTe2Rh
1.0
-0.711 -3.747 -0.829
2.694 -1.344 3.763
-4.448 0.452 1.774
Mn Rh Te
1 1 2
Direct
0.500 0.000 0.500
0.500 0.500 0.000
0.000 0.274 0.226
0.000 0.726 0.774
```

Calculated values
- Magnetic moment: 4.7 Bohr magnetons per cell
- ΔE_f (raw): 225 meV per atom
- Symmetry: Cmmm (65)



> magnetic moment of number 10 (CuPt2Rh)?

0.0 Bohr magnetons per cell